Crystalline Zr3Ga2C at its relaxed geometry, computed with GGA-PBE.

a b c (Å): 3.260 5.272 12.679
angles (deg): 90.00 90.00 90.00
Space group Immm (No. 71)
Inequivalent atoms, fractional coordinates:
Zr1 0.000 0.000 0.000 x2
Zr2 0.000 0.000 0.376 x4
Ga1 0.000 0.500 0.316 x4
C1 0.000 0.500 0.000 x2

The density comes out at 6480 kg/m3. As for the total energy: -43.64 eV/f.u. The formation energy is -453.8 meV/atom.